## RbTiSeO6 (PBE)

Data for a geometry-optimized RbTiSeO6 structure.

## Properties
Formation energy (no corrections), eV per atom: -1.467

Geometry as CIF:
```
data_RbTiSeO6
_cell_length_a 5.1410
_cell_length_b 5.1410
_cell_length_c 12.6048
_cell_angle_alpha 90.00
_cell_angle_beta 90.00
_cell_angle_gamma 120.00
_symmetry_space_group_name_H-M 'P 1'
_symmetry_Int_Tables_number 1
loop_
_symmetry_equiv_pos_as_xyz
'x,y,z'
loop_
_atom_site_label
_atom_site_fract_x
_atom_site_fract_y
_atom_site_fract_z
Rb1 0.0000 0.0000 0.0000
Rb2 0.0000 0.0000 0.5000
Ti1 0.3333 0.6667 0.2500
Ti2 0.6667 0.3333 0.7500
Se1 0.3333 0.6667 0.7500
Se2 0.6667 0.3333 0.2500
O1 0.0230 0.4007 0.6677
O2 0.0230 0.6224 0.8323
O3 0.3776 0.4007 0.8323
O4 0.3776 0.9770 0.6677
O5 0.4007 0.0230 0.1677
O6 0.4007 0.3776 0.3323
O7 0.5993 0.6224 0.6677
O8 0.5993 0.9770 0.8323
O9 0.6224 0.0230 0.3323
O10 0.6224 0.5993 0.1677
O11 0.9770 0.3776 0.1677
O12 0.9770 0.5993 0.3323
```


## NiOs2Br (PBE)

Data for a geometry-optimized NiOs2Br structure.

## Properties
Formation energy (no corrections), eV per atom: 1.177

Geometry as CIF:
```
data_NiOs2Br
_cell_length_a 5.2351
_cell_length_b 9.4438
_cell_length_c 2.8926
_cell_angle_alpha 90.00
_cell_angle_beta 121.44
_cell_angle_gamma 90.00
_symmetry_space_group_name_H-M 'P 1'
_symmetry_Int_Tables_number 1
loop_
_symmetry_equiv_pos_as_xyz
'x,y,z'
loop_
_atom_site_label
_atom_site_fract_x
_atom_site_fract_y
_atom_site_fract_z
Ni1 0.0000 0.0000 0.0000
Ni2 0.5000 0.5000 0.0000
Os1 0.2500 0.2500 0.5000
Os2 0.2500 0.7500 0.5000
Os3 0.7500 0.2500 0.5000
Os4 0.7500 0.7500 0.5000
Br1 0.0000 0.5000 0.0000
Br2 0.5000 0.0000 0.0000
```


## Na2CaTe2 (PBE)

Data for a geometry-optimized Na2CaTe2 structure.

## Properties
Formation energy (no corrections), eV per atom: -0.848

Geometry as CIF:
```
data_Na2CaTe2
_cell_length_a 8.4161
_cell_length_b 8.4161
_cell_length_c 4.0248
_cell_angle_alpha 90.00
_cell_angle_beta 90.00
_cell_angle_gamma 90.00
_symmetry_space_group_name_H-M 'P 1'
_symmetry_Int_Tables_number 1
loop_
_symmetry_equiv_pos_as_xyz
'x,y,z'
loop_
_atom_site_label
_atom_site_fract_x
_atom_site_fract_y
_atom_site_fract_z
Na1 0.1154 0.3846 0.0000
Na2 0.3846 0.8846 0.0000
Na3 0.6154 0.1154 0.0000
Na4 0.8846 0.6154 0.0000
Ca1 0.0000 0.0000 0.0000
Ca2 0.5000 0.5000 0.0000
Te1 0.1889 0.6889 0.5000
Te2 0.3111 0.1889 0.5000
Te3 0.6889 0.8111 0.5000
Te4 0.8111 0.3111 0.5000
```


## Cs3Li2MgBr6 (PBE)

Data for a geometry-optimized Cs3Li2MgBr6 structure.

## Properties
Formation energy (no corrections), eV per atom: -1.445

Geometry as CIF:
```
data_Cs3Li2MgBr6
_cell_length_a 7.8537
_cell_length_b 7.8537
_cell_length_c 9.3660
_cell_angle_alpha 90.00
_cell_angle_beta 90.00
_cell_angle_gamma 120.00
_symmetry_space_group_name_H-M 'P 1'
_symmetry_Int_Tables_number 1
loop_
_symmetry_equiv_pos_as_xyz
'x,y,z'
loop_
_atom_site_label
_atom_site_fract_x
_atom_site_fract_y
_atom_site_fract_z
Cs1 0.0000 0.0000 0.0000
Cs2 0.3333 0.6667 0.6550
Cs3 0.6667 0.3333 0.3450
Li1 0.3333 0.6667 0.2386
Li2 0.6667 0.3333 0.7614
Mg1 0.0000 0.0000 0.5000
Br1 0.1603 0.3205 0.3231
Br2 0.1603 0.8397 0.3231
Br3 0.3205 0.1603 0.6769
Br4 0.6795 0.8397 0.3231
Br5 0.8397 0.1603 0.6769
Br6 0.8397 0.6795 0.6769
```


> Among the records above, which one has the lowest formation energy (no corrections)?

RbTiSeO6


> Which formula does entry 1 have?

RbTiSeO6